# 1
## CeSmCuPb (PBE)

Data for an optimized crystal structure of CeSmCuPb.

```
CeSmCuPb
1.0
5.335 0.000 0.000
2.668 4.621 0.000
2.668 1.540 4.356
Pb Cu Ce Sm
1 1 1 1
direct
0.750 0.750 0.750
0.250 0.250 0.250
0.000 0.000 0.000
0.500 0.500 0.500
```

Values from the calculation:
Energy relative to the elements: -0.21 eV per atom
Final energy: -19.3 eV for the cell shown
Space-group type: F-43m, No. 216

=====

# 2
## Cd2ReTcHg (PBE)

Data for an optimized crystal structure of Cd2ReTcHg.

```
Cd2ReTcHg
1.0
-0.179 -5.066 -1.167
4.910 -0.526 1.530
-1.618 -1.055 4.830
Tc Re Hg Cd
1 1 1 2
direct
0.000 0.000 0.000
0.500 0.500 0.500
0.000 0.500 0.000
0.000 0.000 0.500
0.500 0.000 0.000
```

Values from the calculation:
Energy relative to the elements: 1.91 eV per atom
Final energy: -15.4 eV for the cell shown
Space-group type: P4/mmm, No. 123

=====

# 3
## ScNi2HPd (PBE)

Data for an optimized crystal structure of ScNi2HPd.

```
ScNi2HPd
1.0
3.834 0.000 0.000
0.000 3.834 0.000
0.000 0.000 3.932
Sc Ni Pd H
1 2 1 1
direct
0.500 0.500 0.500
0.000 0.500 0.000
0.500 0.000 0.000
0.000 0.000 0.500
0.000 0.000 0.000
```

Values from the calculation:
Final energy: -28.7 eV for the cell shown
Space-group type: P4/mmm, No. 123

=====

# 4
## BeAgS2 (PBE)

Data for an optimized crystal structure of BeAgS2.

```
BeAgS2
1.0
5.504 0.000 0.000
0.000 5.504 0.000
2.752 2.752 4.814
Be S Ag
2 4 2
direct
0.500 0.500 0.000
0.250 0.750 0.500
0.564 0.125 0.250
0.186 0.625 0.250
0.375 0.436 0.750
0.875 0.814 0.750
0.000 0.000 0.000
0.750 0.250 0.500
```

Values from the calculation:
Final energy: -32.8 eV for the cell shown
ΔE_f (raw): -0.389 eV/atom
Space-group type: I-42d, No. 122